1.
## LaPrSm2Tm5 (PBE-GGA)

Data for a relaxed LaPrSm2Tm5 crystal.

Results
The value obtained for the energy relative to the elements is 250 meV per atom. The value obtained for the magnetization is 0.000 μB per atom. As for the space group: I4/mcm, No. 140. The calculated volume comes out at 32.6 Å³/atom.

Unit cell a=8.7115 b=8.7115 c=9.8888 alpha=116.13 beta=116.13 gamma=90.00
Fractional coordinates of all 18 atoms:
Tm 0.5731 0.6586 0.7318
Tm 0.6586 0.1586 0.7318
Tm 0.0731 0.5731 0.7318
Tm 0.1586 0.0731 0.7318
Tm 0.0000 0.0000 0.0000
Tm 0.8414 0.9269 0.2682
Tm 0.9269 0.4269 0.2682
Tm 0.3414 0.8414 0.2682
Tm 0.4269 0.3414 0.2682
Tm 0.5000 0.5000 0.0000
La 0.2500 0.2500 0.5000
La 0.7500 0.7500 0.5000
Pr 0.2500 0.7500 0.5000
Pr 0.7500 0.2500 0.5000
Sm 0.1170 0.3830 0.0000
Sm 0.6170 0.1170 0.0000
Sm 0.3830 0.8830 0.0000
Sm 0.8830 0.6170 0.0000

---

2.
## LaPrSm2Tm2 (PBE-GGA)

Data for a relaxed LaPrSm2Tm2 crystal.

Results
The value obtained for the energy relative to the elements is 266 meV per atom. The value obtained for the magnetization is 0.000 μB per atom. As for the space group: Pnnm, No. 58. The calculated volume comes out at 34.4 Å³/atom.

Unit cell a=3.4297 b=6.5583 c=18.3344 alpha=90.00 beta=90.00 gamma=90.00
Fractional coordinates of all 12 atoms:
La 0.5000 0.5000 0.5000
La 0.0000 0.0000 0.0000
Sm 0.5000 0.2846 0.3090
Sm 0.5000 0.7154 0.6910
Sm 0.0000 0.7846 0.1910
Sm 0.0000 0.2154 0.8090
Tm 0.5000 0.7853 0.3523
Tm 0.0000 0.7147 0.8523
Tm 0.5000 0.2147 0.6477
Tm 0.0000 0.2853 0.1477
Pr 0.5000 0.5000 0.0000
Pr 0.0000 0.0000 0.5000

---

3.
## La6PrSmTm2 (PBE-GGA)

Data for a relaxed La6PrSmTm2 crystal.

Results
The value obtained for the energy relative to the elements is 185 meV per atom. The value obtained for the magnetization is 0.000 μB per atom. As for the space group: C2/m, No. 12. The calculated volume comes out at 35.9 Å³/atom.

Unit cell a=8.9331 b=7.2681 c=6.7311 alpha=122.68 beta=100.74 gamma=90.00
Fractional coordinates of all 10 atoms:
La 0.1977 0.0432 0.6453
La 0.4431 0.6423 0.2845
La 0.8023 0.9568 0.3547
La 0.5569 0.3577 0.7155
La 0.8023 0.3979 0.3547
La 0.1977 0.6021 0.6453
Tm 0.1604 0.0928 0.1856
Tm 0.8396 0.9072 0.8144
Pr 0.0000 0.5000 0.0000
Sm 0.5000 0.0000 0.0000

---

4.
## LaPr5SmTm2 (PBE-GGA)

Data for a relaxed LaPr5SmTm2 crystal.

Results
The value obtained for the energy relative to the elements is 147 meV per atom. The value obtained for the magnetization is 0.000 μB per atom. As for the space group: Cmc2_1, No. 36. The calculated volume comes out at 35.3 Å³/atom.

Unit cell a=5.7623 b=10.7016 c=10.6957 alpha=90.00 beta=90.00 gamma=105.62
Fractional coordinates of all 18 atoms:
La 0.5847 0.1694 0.9462
La 0.4153 0.8306 0.4462
Pr 0.9840 0.9681 0.5238
Pr 0.7052 0.4105 0.2044
Pr 0.7199 0.4398 0.8132
Pr 0.5235 0.0470 0.2408
Pr 0.4765 0.9530 0.7408
Pr 0.0160 0.0319 0.0238
Pr 0.2948 0.5895 0.7044
Pr 0.2801 0.5602 0.3132
Pr 0.6125 0.2250 0.5271
Pr 0.3875 0.7750 0.0271
Tm 0.1129 0.2258 0.7343
Tm 0.1170 0.2340 0.3222
Tm 0.8830 0.7660 0.8222
Tm 0.8871 0.7742 0.2343
Sm 0.8022 0.6043 0.5119
Sm 0.1978 0.3957 0.0119

---

5.
## La2Pr3SmTm6 (PBE-GGA)

Data for a relaxed La2Pr3SmTm6 crystal.

Results
The value obtained for the energy relative to the elements is 18 meV per atom. The value obtained for the magnetization is 0.000 μB per atom. As for the space group: C2/m, No. 12. The calculated volume comes out at 32.8 Å³/atom.

Unit cell a=6.2583 b=6.2583 c=11.7732 alpha=95.08 beta=95.08 gamma=119.97
Fractional coordinates of all 12 atoms:
Pr 0.5000 0.5000 0.5000
Pr 0.8334 0.1666 0.5000
Pr 0.1666 0.8334 0.5000
Tm 0.7510 0.7510 0.2505
Tm 0.4161 0.0836 0.2504
Tm 0.0836 0.4161 0.2504
Tm 0.5839 0.9164 0.7496
Tm 0.2490 0.2490 0.7495
Tm 0.9164 0.5839 0.7496
La 0.3336 0.6664 0.0000
La 0.6664 0.3336 0.0000
Sm 0.0000 0.0000 0.0000

---

6.
## La2PrSmTm2 (PBE-GGA)

Data for a relaxed La2PrSmTm2 crystal.

Results
The value obtained for the energy relative to the elements is 69 meV per atom. The value obtained for the magnetization is 0.000 μB per atom. As for the space group: Pmc2_1, No. 26. The calculated volume comes out at 34.2 Å³/atom.

Unit cell a=5.6750 b=6.9617 c=10.3942 alpha=90.00 beta=90.00 gamma=90.00
Fractional coordinates of all 12 atoms:
La 0.5000 0.0574 0.0252
La 0.5000 0.5574 0.9748
La 0.0000 0.8261 0.8008
La 0.0000 0.3261 0.1992
Tm 0.0000 0.8158 0.1325
Tm 0.0000 0.3158 0.8675
Tm 0.5000 0.7004 0.6280
Tm 0.5000 0.2004 0.3720
Pr 0.5000 0.1924 0.6922
Pr 0.5000 0.6924 0.3078
Sm 0.0000 0.4536 0.5272
Sm 0.0000 0.9536 0.4728

---

7.
## LaPr4SmTm2 (PBE-GGA)

Data for a relaxed LaPr4SmTm2 crystal.

Results
The value obtained for the energy relative to the elements is 21 meV per atom. The value obtained for the magnetization is 0.000 μB per atom. As for the space group: C2/m, No. 12. The calculated volume comes out at 34.5 Å³/atom.

Unit cell a=5.1795 b=6.3147 c=9.6589 alpha=89.49 beta=74.45 gamma=65.79
Fractional coordinates of all 8 atoms:
Tm 0.2526 0.2473 0.2476
Tm 0.7474 0.7527 0.7524
Pr 0.3748 0.3747 0.8756
Pr 0.8754 0.8756 0.3736
Pr 0.6252 0.6253 0.1244
Pr 0.1246 0.1244 0.6264
Sm 0.0000 0.0000 0.0000
La 0.5000 0.5000 0.5000

---

8.
## La2PrSmTm4 (PBE-GGA)

Data for a relaxed La2PrSmTm4 crystal.

Results
The value obtained for the energy relative to the elements is 22 meV per atom. The value obtained for the magnetization is 0.000 μB per atom. As for the space group: P-1, No. 2. The calculated volume comes out at 33.0 Å³/atom.

Unit cell a=9.8705 b=10.3536 c=12.2833 alpha=114.91 beta=143.42 gamma=90.10
Fractional coordinates of all 16 atoms:
Pr 0.0000 0.5000 0.5000
Pr 0.0000 0.5000 0.0000
Tm 0.7462 0.2509 0.4984
Tm 0.7493 0.7491 0.5017
Tm 0.2506 0.2509 0.4983
Tm 0.2511 0.2511 0.0035
Tm 0.2444 0.7490 0.9967
Tm 0.7556 0.2510 0.0033
Tm 0.7489 0.7489 0.9965
Tm 0.2538 0.7491 0.5016
La 0.5000 0.5000 0.0000
La 0.5000 0.0000 0.0000
La 0.0000 0.0000 0.5000
La 0.5000 0.0000 0.5000
Sm 0.5000 0.5000 0.5000
Sm 0.0000 0.0000 0.0000

---

9.
## LaPr4Sm2Tm (PBE-GGA)

Data for a relaxed LaPr4Sm2Tm crystal.

Results
The value obtained for the energy relative to the elements is 17 meV per atom. The value obtained for the magnetization is 0.000 μB per atom. As for the space group: P2/m, No. 10. The calculated volume comes out at 34.9 Å³/atom.

Unit cell a=3.6887 b=12.1618 c=6.3301 alpha=79.80 beta=90.00 gamma=90.00
Fractional coordinates of all 8 atoms:
Pr 0.5000 0.2517 0.7493
Pr 0.0000 0.7516 0.7480
Pr 0.0000 0.2484 0.2520
Pr 0.5000 0.7483 0.2507
Sm 0.0000 0.0000 0.0000
Sm 0.5000 0.0000 0.5000
Tm 0.0000 0.5000 0.5000
La 0.5000 0.5000 0.0000

---

10.
## LaPr6Sm2Tm (PBE-GGA)

Data for a relaxed LaPr6Sm2Tm crystal.

Results
The value obtained for the energy relative to the elements is 110 meV per atom. The value obtained for the magnetization is 0.000 μB per atom. As for the space group: C2/c, No. 15. The calculated volume comes out at 35.5 Å³/atom.

Unit cell a=9.9010 b=9.0382 c=9.0382 alpha=117.52 beta=94.05 gamma=94.05
Fractional coordinates of all 20 atoms:
Tm 0.2500 0.4097 0.5903
Tm 0.7500 0.5903 0.4097
Pr 0.1879 0.5656 0.0098
Pr 0.8821 0.2969 0.5072
Pr 0.6179 0.4928 0.7031
Pr 0.0542 0.1180 0.7500
Pr 0.5542 0.7500 0.1180
Pr 0.3821 0.5072 0.2969
Pr 0.3121 0.9902 0.4344
Pr 0.1179 0.7031 0.4928
Pr 0.6879 0.0098 0.5656
Pr 0.8121 0.4344 0.9902
Pr 0.9458 0.8820 0.2500
Pr 0.4458 0.2500 0.8820
Sm 0.5461 0.1988 0.2974
Sm 0.9539 0.7026 0.8012
Sm 0.4539 0.8012 0.7026
Sm 0.0461 0.2974 0.1988
La 0.7500 0.0219 0.9781
La 0.2500 0.9781 0.0219

---

11.
## La2PrSmTm (PBE-GGA)

Data for a relaxed La2PrSmTm crystal.

Results
The value obtained for the energy relative to the elements is 35 meV per atom. The value obtained for the magnetization is 0.000 μB per atom. As for the space group: P2_1/m, No. 11. The calculated volume comes out at 35.2 Å³/atom.

Unit cell a=5.8951 b=6.4284 c=9.8267 alpha=71.04 beta=90.00 gamma=90.00
Fractional coordinates of all 10 atoms:
Pr 0.2500 0.6351 0.3973
Pr 0.7500 0.3649 0.6027
La 0.7500 0.9636 0.3986
La 0.2500 0.2325 0.1956
La 0.7500 0.7675 0.8044
La 0.2500 0.0364 0.6014
Sm 0.7500 0.5700 0.1922
Sm 0.2500 0.4300 0.8078
Tm 0.7500 0.1625 0.9998
Tm 0.2500 0.8375 0.0002

---

12.
## La3PrSm6Tm2 (PBE-GGA)

Data for a relaxed La3PrSm6Tm2 crystal.

Results
The value obtained for the energy relative to the elements is 22 meV per atom. The value obtained for the magnetization is 0.000 μB per atom. As for the space group: C2/m, No. 12. The calculated volume comes out at 34.2 Å³/atom.

Unit cell a=6.3045 b=6.3045 c=12.1056 alpha=95.00 beta=95.00 gamma=120.03
Fractional coordinates of all 12 atoms:
Pr 0.0000 0.0000 0.0000
La 0.8328 0.1672 0.5000
La 0.5000 0.5000 0.5000
La 0.1672 0.8328 0.5000
Sm 0.4165 0.0815 0.2448
Sm 0.0815 0.4165 0.2448
Sm 0.2533 0.2533 0.7551
Sm 0.9185 0.5835 0.7552
Sm 0.7467 0.7467 0.2449
Sm 0.5835 0.9185 0.7552
Tm 0.6669 0.3331 0.0000
Tm 0.3331 0.6669 0.0000